Entry 1:
# K3Pb2Cl8

A PBEsol-optimized structure of K3Pb2Cl8 (SCAN, the Alexandria database).

Electronic total energy = -20.0173 eV per atom
Symmetry = P-1
Density of states at the Fermi level = 0.1550 states/eV/atom

```
K3Pb2Cl8
1.0
-2.4170 1.6791 7.9557
-3.1544 -6.6552 4.8233
4.8201 -3.1195 6.7305
Cl K Pb
8 3 2
direct
0.2125 0.7879 0.2893
0.7638 0.7913 0.7047
0.7875 0.2121 0.7107
0.7694 0.2115 0.2875
0.2306 0.7885 0.7125
0.7311 0.7674 0.2896
0.2362 0.2087 0.2953
0.2689 0.2326 0.7104
0.0000 0.5000 0.5000
0.0000 0.0000 0.0000
0.5000 0.5000 0.5000
0.0000 0.0000 0.5000
0.5000 0.0000 0.5000
```


Entry 2:
# Co3Ir

A PBEsol-optimized structure of Co3Ir (SCAN, the Alexandria database).

Electronic total energy = -30.7377 eV per atom
Symmetry = Imm2
ΔE_f = 0.015 eV per atom
Density of states at the Fermi level = 0.7058 states/eV/atom

```
Co3Ir
1.0
2.5724 0.0000 0.0000
0.0000 4.3796 0.0000
-1.2862 -2.1898 4.0629
Co Ir
3 1
direct
0.7474 0.7501 0.4948
0.2526 0.2554 0.5052
0.0000 0.6657 0.0000
0.5000 0.1621 0.0000
```


Entry 3:
# SrLaAu2

A PBEsol-optimized structure of SrLaAu2 (SCAN, the Alexandria database).

Electronic total energy = -51.9078 eV per atom
Symmetry = Amm2
ΔE_f = -0.984 eV per atom
Density of states at the Fermi level = 0.6244 states/eV/atom

```
SrLaAu2
1.0
4.0352 0.0000 0.0000
0.0000 4.7932 0.0000
-2.0176 0.0000 5.6109
La Sr Au
1 1 2
direct
0.5092 0.5000 0.0184
0.2363 0.0000 0.4727
0.9596 0.0000 0.9192
0.7948 0.5000 0.5897
```


Number 1: total magnetic moment 1.021 μB/f.u.. Number 2: total magnetic moment 5.591 μB/f.u.. Number 3: total magnetic moment 0.000 μB/f.u..